No. 1
Li2TbZrTe4, relaxed, DFT PBE-GGA; ΔE_f (raw) = -1081 meV/atom; space group = No. 10; size of the total moment = 0.0 μB per cell; total DFT energy (no corrections) = -38.22 eV/f.u.
1.0
4.172 0.000 0.000
0.000 7.288 0.146
0.000 -2.532 7.071
Tb Te Li Zr
1 4 2 1
Direct
0.000 0.000 0.000
0.000 0.740 0.251
0.500 0.263 0.258
0.500 0.737 0.742
0.000 0.260 0.749
0.000 0.500 0.500
0.500 0.000 0.500
0.500 0.500 0.000

---

No. 2
LiTbTh, relaxed, DFT PBE-GGA; space group = No. 69; size of the total moment = 0.0 μB per cell; formation energy = 0.535 eV/atom; total DFT energy (no corrections) = -12.36 eV/f.u.
1.0
-6.428 0.047 0.671
-2.836 -0.465 3.994
-3.049 7.863 1.367
Tb Th Li
2 2 2
Direct
0.396 0.000 0.208
0.604 0.000 0.792
0.750 0.500 0.500
0.250 0.500 0.500
0.839 0.322 0.000
0.161 0.678 0.000

---

No. 3
LiTbTh2, relaxed, DFT PBE-GGA; space group = No. 160; size of the total moment = 0.0 μB per cell; formation energy = 0.147 eV/atom; total DFT energy (no corrections) = -20.80 eV/f.u.
1.0
-0.671 1.733 -2.955
-3.292 0.355 -1.106
-2.268 10.493 4.609
Li Th Tb
1 2 1
Direct
0.667 0.667 0.999
0.252 0.252 0.244
0.081 0.081 0.756
0.500 0.500 0.501

---

No. 4
Li4TbTh, relaxed, DFT PBE-GGA; space group = No. 216; size of the total moment = 0.0 μB per cell; formation energy = 0.195 eV/atom; total DFT energy (no corrections) = -18.53 eV/f.u.
1.0
5.828 0.000 0.000
2.914 5.047 0.000
2.914 1.682 4.758
Li Th Tb
4 1 1
Direct
0.125 0.625 0.625
0.625 0.125 0.625
0.625 0.625 0.125
0.625 0.625 0.625
0.000 0.000 0.000
0.250 0.250 0.250

---

No. 5
LiTb2Th, relaxed, DFT PBE-GGA; space group = No. 166; size of the total moment = 0.0 μB per cell; formation energy = 0.164 eV/atom; total DFT energy (no corrections) = -17.94 eV/f.u.
1.0
3.519 0.000 0.000
1.760 3.048 0.000
1.760 1.016 11.991
Tb Li Th
2 1 1
Direct
0.090 0.090 0.731
0.910 0.910 0.269
0.000 0.000 0.000
0.500 0.500 0.500

---

No. 6
LiTb2Th, relaxed, DFT PBE-GGA; space group = No. 160; size of the total moment = 0.0 μB per cell; formation energy = 0.115 eV/atom; total DFT energy (no corrections) = -18.14 eV/f.u.
1.0
-1.085 3.110 1.166
-1.296 0.299 3.231
9.640 3.280 5.452
Li Tb Th
1 2 1
Direct
0.666 0.666 0.001
0.081 0.081 0.757
0.253 0.253 0.242
0.500 0.500 0.499

---

No. 7
LiTbTh, relaxed, DFT PBE-GGA; space group = No. 107; size of the total moment = 0.0 μB per cell; formation energy = 0.123 eV/atom; total DFT energy (no corrections) = -13.59 eV/f.u.
1.0
-1.353 -1.876 -2.816
3.373 -0.504 -1.285
-0.538 -4.166 5.391
Th Tb Li
1 1 1
Direct
0.008 0.008 0.016
0.323 0.323 0.645
0.669 0.669 0.339

---

No. 8
LiTb2Th, relaxed, DFT PBE-GGA; space group = No. 123; size of the total moment = 0.0 μB per cell; formation energy = 0.166 eV/atom; total DFT energy (no corrections) = -17.93 eV/f.u.
1.0
-1.383 1.466 2.985
2.086 -4.347 3.102
4.866 2.919 0.820
Li Tb Th
1 2 1
Direct
0.500 0.500 0.500
0.000 0.000 0.500
0.000 0.500 0.000
0.500 0.000 0.000

---

No. 9
LiTbTh2, relaxed, DFT PBE-GGA; space group = No. 123; size of the total moment = 0.0 μB per cell; formation energy = 0.165 eV/atom; total DFT energy (no corrections) = -20.72 eV/f.u.
1.0
-1.144 -1.615 2.876
3.295 -0.431 1.068
-0.382 8.396 4.562
Th Tb Li
2 1 1
Direct
0.000 0.000 0.770
0.000 0.000 0.230
0.500 0.500 0.500
0.500 0.500 0.000

---

No. 10
LiTbTh2, relaxed, DFT PBE-GGA; space group = No. 166; size of the total moment = 0.0 μB per cell; formation energy = 0.254 eV/atom; total DFT energy (no corrections) = -20.37 eV/f.u.
1.0
3.436 0.000 0.000
1.718 2.976 0.000
1.718 0.992 12.556
Th Li Tb
2 1 1
Direct
0.088 0.088 0.736
0.912 0.912 0.264
0.000 0.000 0.000
0.500 0.500 0.500

---

No. 11
LiTb2Th, relaxed, DFT PBE-GGA; space group = No. 123; size of the total moment = 0.0 μB per cell; formation energy = 0.051 eV/atom; total DFT energy (no corrections) = -18.39 eV/f.u.
1.0
3.639 0.000 0.000
0.000 3.639 0.000
0.000 0.000 8.715
Tb Li Th
2 1 1
Direct
0.000 0.000 0.231
0.000 0.000 0.769
0.500 0.500 0.000
0.500 0.500 0.500

---

No. 12
LiTbTh, relaxed, DFT PBE-GGA; space group = No. 156; size of the total moment = 0.0 μB per cell; formation energy = 0.136 eV/atom; total DFT energy (no corrections) = -13.56 eV/f.u.
1.0
3.485 0.000 0.000
-1.742 3.018 0.000
0.000 0.000 8.468
Tb Th Li
1 1 1
Direct
0.667 0.333 0.331
0.333 0.667 0.667
0.000 0.000 0.001